1.
Here is a relaxed Pu2Si3Rh2 crystal from Alexandria. Energies are from GGA-PBE.

Results
The calculation puts the calculated density at 10.4 g/cm3. The value obtained for the formation energy (no corrections) is -4.9 eV/f.u. For the raw total energy, the calculation gives -9.223 eV per atom. Its space group is Cmcm, No. 63.

Cell lengths 9.077, 9.077, 6.857 Å; angles 90.00, 90.00, 153.90 degrees
Element x y z (fractional)
1 Pu 0.053 0.947 0.750
2 Pu 0.155 0.845 0.250
3 Pu 0.845 0.155 0.750
4 Pu 0.947 0.053 0.250
5 Si 0.220 0.780 0.750
6 Si 0.439 0.561 0.571
7 Si 0.439 0.561 0.929
8 Si 0.561 0.439 0.071
9 Si 0.561 0.439 0.429
10 Si 0.780 0.220 0.250
11 Rh 0.308 0.692 0.046
12 Rh 0.308 0.692 0.454
13 Rh 0.692 0.308 0.546
14 Rh 0.692 0.308 0.954

2.
Here is a relaxed RbNaTlGa crystal from Alexandria. Energies are from GGA-PBE.

Results
The calculation puts the calculated density at 5.2 g/cm3. For the raw total energy, the calculation gives -1.870 eV per atom. Its space group is F-43m, No. 216. The calculation puts the formation energy at 0.05 eV per atom.

Cell lengths 5.562, 5.562, 5.562 Å; angles 60.00, 60.00, 60.00 degrees
Element x y z (fractional)
1 Rb 0.000 0.000 0.000
2 Na 0.250 0.250 0.250
3 Tl 0.500 0.500 0.500
4 Ga 0.750 0.750 0.750

3.
Here is a relaxed Li2Ac2RhO6 crystal from Alexandria. Energies are from GGA-PBE.

Results
The calculation puts the calculated density at 7.8 g/cm3. The value obtained for the formation energy (no corrections) is -23.5 eV/f.u. For the raw total energy, the calculation gives -6.603 eV per atom. Its space group is R-3m, No. 166.

Cell lengths 5.980, 5.980, 5.980 Å; angles 57.18, 57.18, 57.18 degrees
Element x y z (fractional)
1 Li 0.071 0.071 0.071
2 Li 0.929 0.929 0.929
3 Ac 0.274 0.274 0.274
4 Ac 0.726 0.726 0.726
5 Rh 0.500 0.500 0.500
6 O 0.258 0.258 0.724
7 O 0.258 0.724 0.258
8 O 0.276 0.742 0.742
9 O 0.724 0.258 0.258
10 O 0.742 0.276 0.742
11 O 0.742 0.742 0.276

4.
Here is a relaxed HfIr2Se crystal from Alexandria. Energies are from GGA-PBE.

Results
The calculation puts the calculated density at 11.4 g/cm3. The value obtained for the formation energy (no corrections) is 0.1 eV/f.u. For the raw total energy, the calculation gives -7.762 eV per atom. Its space group is I-42d, No. 122.

Cell lengths 7.294, 7.294, 7.294 Å; angles 135.74, 135.74, 64.38 degrees
Element x y z (fractional)
1 Hf 0.000 0.000 0.000
2 Hf 0.750 0.250 0.500
3 Ir 0.165 0.625 0.040
4 Ir 0.375 0.415 0.540
5 Ir 0.585 0.125 0.960
6 Ir 0.875 0.835 0.460
7 Se 0.250 0.750 0.500
8 Se 0.500 0.500 0.000

5.
Here is a relaxed MgBi3Pb crystal from Alexandria. Energies are from GGA-PBE.

Results
The calculation puts the calculated density at 8.3 g/cm3. For the distance to the lowest polymorph of the same formula, the calculation gives 413 meV per atom. For the raw total energy, the calculation gives -3.002 eV per atom. Its space group is Pm-3m, No. 221. The calculation puts the formation energy at 0.39 eV per atom.

Cell lengths 5.559, 5.559, 5.559 Å; angles 90.00, 90.00, 90.00 degrees
Element x y z (fractional)
1 Mg 0.000 0.000 0.000
2 Bi 0.000 0.000 0.500
3 Bi 0.000 0.500 0.000
4 Bi 0.500 0.000 0.000
5 Pb 0.500 0.500 0.500

6.
Here is a relaxed La2CeWN5 crystal from Alexandria. Energies are from GGA-PBE.

Results
The calculation puts the calculated density at 8.0 g/cm3. The value obtained for the formation energy (no corrections) is -6.7 eV/f.u. For the raw total energy, the calculation gives -8.567 eV per atom. Its space group is P4/mbm, No. 127.

Cell lengths 6.748, 6.748, 6.134 Å; angles 90.00, 90.00, 90.00 degrees
Element x y z (fractional)
1 La 0.167 0.333 0.000
2 La 0.333 0.833 0.000
3 La 0.667 0.167 0.000
4 La 0.833 0.667 0.000
5 Ce 0.000 0.000 0.500
6 Ce 0.500 0.500 0.500
7 W 0.000 0.500 0.500
8 W 0.500 0.000 0.500
9 N 0.000 0.000 0.000
10 N 0.147 0.647 0.279
11 N 0.147 0.647 0.721
12 N 0.353 0.147 0.279
13 N 0.353 0.147 0.721
14 N 0.500 0.500 0.000
15 N 0.647 0.853 0.279
16 N 0.647 0.853 0.721
17 N 0.853 0.353 0.279
18 N 0.853 0.353 0.721